# 1
Here is a relaxed structure of CsBeNb from Alexandria. Energies are from PBE.

Summary:
**ΔH_f (0 K)**: 1.22 eV per formula unit
**Theoretical density**: 4.39 g cm⁻³
**DFT total energy**: -26.866 eV/cell

a b c (Å): 3.495 3.890 13.296
angles (deg): 98.16 96.73 90.00
Positions (direct):
Cs: 0.000 0.000 0.000
Cs: 0.224 0.698 0.380
Be: 0.390 0.869 0.741
Be: 0.844 0.820 0.640
Nb: 0.333 0.308 0.613
Nb: 0.901 0.382 0.767

# 2
Here is a relaxed structure of Cs3BeNb from Alexandria. Energies are from PBE.

Summary:
**ΔH_f (0 K)**: 8.80 eV per formula unit
**Theoretical density**: 3.30 g cm⁻³
**DFT total energy**: -7.561 eV/cell

a b c (Å): 6.314 6.314 6.314
angles (deg): 90.00 90.00 90.00
Positions (direct):
Cs: 0.000 0.000 0.500
Cs: 0.000 0.500 0.000
Cs: 0.500 0.000 0.000
Be: 0.500 0.500 0.500
Nb: 0.000 0.000 0.000

# 3
Here is a relaxed structure of CsBeNb3 from Alexandria. Energies are from PBE.

Summary:
**ΔH_f (0 K)**: 14.70 eV per formula unit
**Theoretical density**: 5.61 g cm⁻³
**DFT total energy**: -20.087 eV/cell

a b c (Å): 4.994 4.994 4.994
angles (deg): 90.00 90.00 90.00
Positions (direct):
Cs: 0.000 0.000 0.000
Be: 0.500 0.500 0.500
Nb: 0.000 0.000 0.500
Nb: 0.000 0.500 0.000
Nb: 0.500 0.000 0.000

# 4
Here is a relaxed structure of CsBeNb from Alexandria. Energies are from PBE.

Summary:
**ΔH_f (0 K)**: 3.00 eV per formula unit
**Theoretical density**: 3.99 g cm⁻³
**DFT total energy**: -46.599 eV/cell

a b c (Å): 8.893 3.646 12.047
angles (deg): 90.00 90.00 90.00
Positions (direct):
Cs: 0.042 0.250 0.173
Cs: 0.458 0.750 0.673
Cs: 0.542 0.250 0.327
Cs: 0.958 0.750 0.827
Be: 0.183 0.750 0.418
Be: 0.317 0.250 0.918
Be: 0.683 0.750 0.082
Be: 0.817 0.250 0.582
Nb: 0.088 0.250 0.541
Nb: 0.412 0.750 0.041
Nb: 0.588 0.250 0.959
Nb: 0.912 0.750 0.459

# 5
Here is a relaxed structure of CsBeNb3 from Alexandria. Energies are from PBE.

Summary:
**ΔH_f (0 K)**: 7.46 eV per formula unit
**Theoretical density**: 6.76 g cm⁻³
**DFT total energy**: -27.333 eV/cell

a b c (Å): 4.693 4.693 4.693
angles (deg): 90.00 90.00 90.00
Positions (direct):
Cs: 0.000 0.000 0.000
Be: 0.500 0.500 0.500
Nb: 0.000 0.500 0.500
Nb: 0.500 0.000 0.500
Nb: 0.500 0.500 0.000

# 6
Here is a relaxed structure of CsBeNb from Alexandria. Energies are from PBE.

Summary:
**ΔH_f (0 K)**: 4.29 eV per formula unit
**Theoretical density**: 4.15 g cm⁻³
**DFT total energy**: -20.711 eV/cell

a b c (Å): 4.072 4.072 13.071
angles (deg): 90.00 90.00 120.00
Positions (direct):
Cs: 0.000 0.000 0.000
Cs: 0.000 0.000 0.500
Be: 0.333 0.667 0.250
Be: 0.667 0.333 0.750
Nb: 0.333 0.667 0.750
Nb: 0.667 0.333 0.250

# 7
Here is a relaxed structure of CsBeNb from Alexandria. Energies are from PBE.

Summary:
**ΔH_f (0 K)**: 1.21 eV per formula unit
**Theoretical density**: 4.42 g cm⁻³
**DFT total energy**: -26.872 eV/cell

a b c (Å): 3.886 3.495 12.989
angles (deg): 90.00 90.92 90.00
Positions (direct):
Cs: 0.012 0.000 0.312
Cs: 0.988 0.500 0.688
Be: 0.003 0.492 0.051
Be: 0.997 0.992 0.949
Nb: 0.496 0.493 0.923
Nb: 0.504 0.993 0.077

# 8
Here is a relaxed structure of CsBeNb from Alexandria. Energies are from PBE.

Summary:
**ΔH_f (0 K)**: 6.42 eV per formula unit
**Theoretical density**: 5.19 g cm⁻³
**DFT total energy**: -8.230 eV/cell

a b c (Å): 4.738 4.738 4.738
angles (deg): 60.00 60.00 60.00
Positions (direct):
Cs: 0.000 0.000 0.000
Be: 0.500 0.500 0.500
Nb: 0.750 0.750 0.750